Record 1
## SmDyTh4 (GGA-PBE)

Data for SmDyTh4 after structural relaxation. Values from VASP.

Summary:
magnetic moment	0.0	Bohr magnetons per cell
uncorrected energy	-38.747	eV/cell
energy of formation from the pure elements	42.2	meV per atom
space group	No. 123

```
&SYSTEM
  ibrav = 0, nat = 6, ntyp = 3
/
ATOMIC_SPECIES
Sm 150.36 Sm.upf
Th 232.04 Th.upf
Dy 162.50 Dy.upf
ATOMIC_POSITIONS angstrom
Sm 0.0000 0.0000 0.0000
Th 0.0000 0.0000 10.0802
Th 1.7941 1.7941 2.5920
Th 1.7941 1.7941 12.5176
Th 0.0000 0.0000 5.0294
Dy 1.7941 1.7941 7.5548
CELL_PARAMETERS angstrom
3.5881 0.0000 0.0000
0.0000 3.5881 0.0000
0.0000 0.0000 15.1096
```

---

Record 2
## ZnCd3Hg (GGA-PBE)

Data for ZnCd3Hg after structural relaxation. Values from VASP.

Summary:
magnetic moment	0.0	Bohr magnetons per cell
uncorrected energy	-8.133	eV/cell
energy of formation from the pure elements	50.9	meV per atom
space group	No. 1

```
&SYSTEM
  ibrav = 0, nat = 10, ntyp = 3
/
ATOMIC_SPECIES
Cd 112.41 Cd.upf
Hg 200.59 Hg.upf
Zn 65.41 Zn.upf
ATOMIC_POSITIONS angstrom
Cd 1.7967 0.8091 1.1912
Cd 5.4958 -3.8713 -0.3958
Cd 3.9064 -1.5033 1.8856
Cd 1.3043 -2.2574 0.9454
Cd 8.6382 -0.0112 0.8349
Cd 2.0624 0.9837 4.2705
Hg 4.4824 1.5717 2.1431
Hg 6.0544 -0.7969 -0.1375
Zn 6.3705 -0.5683 2.9881
Zn 3.5824 -1.6985 -1.2257
CELL_PARAMETERS angstrom
-0.1961 -2.8765 2.8496
6.1026 -4.0725 -3.6898
3.3921 4.0172 4.2878
```

---

Record 3
## TbPr6Er3 (GGA-PBE)

Data for TbPr6Er3 after structural relaxation. Values from VASP.

Summary:
magnetic moment	0.0	Bohr magnetons per cell
uncorrected energy	-91.177	eV/cell
energy of formation from the pure elements	140.7	meV per atom
space group	No. 36

```
&SYSTEM
  ibrav = 0, nat = 20, ntyp = 3
/
ATOMIC_SPECIES
Er 167.26 Er.upf
Pr 140.91 Pr.upf
Tb 158.93 Tb.upf
ATOMIC_POSITIONS angstrom
Er -3.3936 -0.9183 2.2843
Er -0.2214 -1.0607 6.7948
Er -4.3548 -4.3234 3.4087
Er -1.7159 -8.1278 7.6228
Er -4.8881 -7.9854 3.1123
Er 0.7634 -5.5833 1.8935
Pr -1.8470 -6.6693 4.4119
Pr -1.0745 -3.0167 3.9840
Pr 2.4871 -3.1466 3.8632
Pr 5.5484 -5.7661 8.9703
Pr 1.4599 -8.0036 4.4322
Pr -1.5933 -3.3231 0.4321
Pr -2.3658 -6.9757 0.8601
Pr 1.4982 -5.2576 6.0003
Pr -6.1218 -1.2962 4.1173
Pr -7.1490 -6.1533 4.6864
Pr -10.3085 -3.4781 -0.1229
Pr -5.3706 -4.4899 0.1543
Tb 4.2135 -6.1514 3.2722
Tb -7.8828 -3.7111 2.2664
CELL_PARAMETERS angstrom
-1.9822 1.1236 6.0126
-10.1611 -3.8040 -2.6390
7.9059 -6.8601 3.8884
```

---

Record 4
## RbSr2Te2 (GGA-PBE)

Data for RbSr2Te2 after structural relaxation. Values from VASP.

Summary:
magnetic moment	1.8	Bohr magnetons per cell
formation energy from raw total energies	-1.1643	eV/atom
uncorrected energy	-32.872	eV/cell
space group	No. 127

```
&SYSTEM
  ibrav = 0, nat = 10, ntyp = 3
/
ATOMIC_SPECIES
Rb 85.47 Rb.upf
Sr 87.62 Sr.upf
Te 127.60 Te.upf
ATOMIC_POSITIONS angstrom
Rb 0.0000 0.0000 0.0000
Rb 4.6698 4.6698 0.0000
Sr 6.0685 7.9409 2.2232
Sr 3.2711 1.3987 2.2232
Sr 1.3987 6.0685 2.2232
Sr 7.9409 3.2711 2.2232
Te 7.9442 6.0652 0.0000
Te 1.3954 3.2744 0.0000
Te 3.2744 7.9442 0.0000
Te 6.0652 1.3954 0.0000
CELL_PARAMETERS angstrom
9.3396 0.0000 0.0000
0.0000 9.3396 0.0000
0.0000 0.0000 4.4464
```